# MnFe4CuO8 | Alexandria via LeMat-Bulk | PBE with a Hubbard U | optimized geometry
# **N(E_F)**: 23.77 states/eV per cell
# **Spin magnetization**: 96.00 Bohr magnetons per cell
# **Final energy**: -6.625 eV per atom
data_MnFe4CuO8
_chemical_formula_sum 'Mn4 Fe16 Cu4 O32'
_space_group_name_H-M_alt 'F -4 3 m'
_space_group_IT_number 216
_space_group_name_Hall 'F -4 2 3'
_cell_length_a 8.598
_cell_length_b 8.598
_cell_length_c 8.598
_cell_angle_alpha 90.00
_cell_angle_beta 90.00
_cell_angle_gamma 90.00
loop_
_atom_site_label
_atom_site_fract_x
_atom_site_fract_y
_atom_site_fract_z
_atom_site_occupancy
Mn1 0.000 0.000 0.000 1
Fe1 0.125 0.125 0.375 1
Cu1 0.250 0.250 0.750 1
O1 0.114 0.114 0.614 1
O2 0.138 0.138 0.138 1